[1]
Here is crystalline RbAuO2F at its relaxed geometry from Alexandria via LeMat-Bulk. Energies are from PBE.

a = 4.4110 Å, b = 4.4110 Å, c = 4.9988 Å
α = 90.00°, β = 90.00°, γ = 90.00°
With the nearest neighbours (Å) after each atom.
Fractional coordinates of all 5 atoms:
Au 0.5000 0.5000 0.5000  4 F 3.12, 8 O 3.33
O 0.0000 0.5000 0.0000  2 Rb 2.21
O 0.5000 0.0000 0.0000  2 Rb 2.21
Rb 0.0000 0.0000 0.0000  4 O 2.21
F 0.0000 0.0000 0.5000  2 Rb 2.50

Output
Space group = P4/mmm, No. 123
Uncorrected formation energy = 0.74 eV per atom
V = 19.45 A^3/atom

***

[2]
Here is crystalline RbAuO2F at its relaxed geometry from Alexandria via LeMat-Bulk. Energies are from PBE.

a = 3.9875 Å, b = 3.9875 Å, c = 5.4659 Å
α = 90.00°, β = 90.00°, γ = 90.00°
With the nearest neighbours (Å) after each atom.
Fractional coordinates of all 5 atoms:
Au 0.0000 0.0000 0.0000  4 O 1.99
O 0.0000 0.5000 0.0000  2 Au 1.99
O 0.5000 0.0000 0.0000  2 Au 1.99
Rb 0.5000 0.5000 0.5000  4 F 2.82
F 0.0000 0.0000 0.5000  2 Au 2.73, 4 Rb 2.82

Output
Space group = P4/mmm, No. 123
Uncorrected formation energy = -0.71 eV per atom
V = 17.38 A^3/atom